First-principles (meta-GGA SCAN) data for a PBEsol-optimized structure of NaMgAu3, as listed in Alexandria.

Values from the calculation:
formation enthalpy at 0 K	-0.017	eV per atom
VASP energy	-216.746	eV/cell
Fermi-level density of states	0.91	states/eV/cell

Lattice parameters (Å, degrees): 4.982 4.982 4.982 90.00 90.00 90.00
Element x y z (fractional)
Na1 0.500 0.500 0.500
Mg1 0.000 0.000 0.000
Au1 0.000 0.500 0.000
Au2 0.000 0.000 0.500
Au3 0.500 0.000 0.000

First-principles (meta-GGA SCAN) data for a PBEsol-optimized structure of MgNb3Au, as listed in Alexandria.

Values from the calculation:
formation enthalpy at 0 K	1.255	eV per atom
VASP energy	-167.243	eV/cell
Fermi-level density of states	6.93	states/eV/cell

Lattice parameters (Å, degrees): 4.948 4.948 4.948 90.00 90.00 90.00
Element x y z (fractional)
Nb1 0.000 0.500 0.000
Nb2 0.000 0.000 0.500
Nb3 0.500 0.000 0.000
Au1 0.000 0.000 0.000
Mg1 0.500 0.500 0.500

First-principles (meta-GGA SCAN) data for a PBEsol-optimized structure of NdMgAu, as listed in Alexandria.

Values from the calculation:
formation enthalpy at 0 K	-0.869	eV per atom
VASP energy	-360.959	eV/cell
Fermi-level density of states	6.97	states/eV/cell

Lattice parameters (Å, degrees): 4.114 7.697 7.697 120.00 90.00 90.00
Element x y z (fractional)
Nd1 0.500 0.000 0.587
Nd2 0.500 0.587 0.000
Nd3 0.500 0.413 0.413
Mg1 0.000 0.000 0.243
Mg2 0.000 0.757 0.757
Mg3 0.000 0.243 0.000
Au1 0.000 0.667 0.333
Au2 0.000 0.333 0.667
Au3 0.500 0.000 0.000